(1)
ErBe2Al | Alexandria | PBE | optimized geometry; symmetry = R-3m (166); energy relative to the elements = -0.1210 eV/atom; energy = -4.060 eV per atom
1.0
-0.075 3.926 -0.309
-3.414 1.861 -0.628
-1.836 2.288 4.412
Be Al Er
2 1 1
Direct
0.701 0.701 0.897
0.299 0.299 0.103
0.000 0.000 0.000
0.500 0.500 0.500

---

(2)
TmB4O7 | Alexandria | PBE | optimized geometry; formation energy (no corrections) = -2.38 eV per atom; symmetry = Pmn2_1 (31); energy = -7.875 eV per atom
1.0
4.205 0.000 0.000
0.000 4.587 0.000
0.000 0.000 11.184
O B Tm
14 8 2
Direct
0.914 0.752 0.870
0.999 0.623 0.661
0.401 0.891 0.209
0.999 0.623 0.339
0.499 0.377 0.839
0.414 0.248 0.370
0.958 0.303 0.500
0.499 0.377 0.161
0.901 0.109 0.291
0.414 0.248 0.630
0.901 0.109 0.709
0.914 0.752 0.130
0.458 0.697 0.000
0.401 0.891 0.791
0.593 0.667 0.877
0.056 0.824 0.241
0.593 0.667 0.123
0.093 0.333 0.377
0.556 0.176 0.741
0.093 0.333 0.623
0.556 0.176 0.259
0.056 0.824 0.759
0.270 0.167 0.000
0.770 0.833 0.500

---

(3)
KZrCo3 | Alexandria | PBE | optimized geometry; symmetry = Pm-3m (221); energy relative to the elements = 1.3043 eV/atom; energy = -4.888 eV per atom
1.0
4.808 0.000 0.000
0.000 4.808 0.000
0.000 0.000 4.808
Co Zr K
3 1 1
Direct
0.500 0.000 0.000
0.000 0.500 0.000
0.000 0.000 0.500
0.000 0.000 0.000
0.500 0.500 0.500

---

(4)
HfMnGaFe | Alexandria | PBE | optimized geometry; symmetry = F-43m (216); energy relative to the elements = -0.2042 eV/atom; energy = -7.857 eV per atom
1.0
4.290 0.000 0.000
2.145 3.715 0.000
2.145 1.238 3.503
Mn Ga Hf Fe
1 1 1 1
Direct
0.500 0.500 0.500
0.250 0.250 0.250
0.750 0.750 0.750
0.000 0.000 0.000

---

(5)
Mg2Te2Pb | Alexandria | PBE | optimized geometry; formation energy (no corrections) = -0.32 eV per atom; symmetry = P4/mbm (127); energy = -2.961 eV per atom
1.0
8.216 0.000 0.000
0.000 8.216 0.000
0.000 0.000 3.952
Mg Te Pb
4 4 2
Direct
0.134 0.366 0.000
0.634 0.134 0.000
0.866 0.634 0.000
0.366 0.866 0.000
0.832 0.332 0.500
0.168 0.668 0.500
0.332 0.168 0.500
0.668 0.832 0.500
0.000 0.000 0.000
0.500 0.500 0.000

---

(6)
Tb3ErCd2 | Alexandria | PBE | optimized geometry; symmetry = P4/mmm (123); energy relative to the elements = -0.1914 eV/atom; energy = -3.572 eV per atom
1.0
-2.244 -2.654 -1.130
2.690 -2.442 0.393
-3.617 -2.052 12.006
Er Cd Tb
1 2 3
Direct
0.500 0.500 0.500
0.500 0.500 0.154
0.500 0.500 0.846
0.000 0.000 0.310
0.000 0.000 0.690
0.000 0.000 0.000

---

(7)
Sr2BiSe2 | Alexandria | PBE | optimized geometry; formation energy (no corrections) = -1.29 eV per atom; symmetry = P4/mbm (127); energy = -4.130 eV per atom
1.0
8.568 0.000 0.000
0.000 8.568 0.000
0.000 0.000 4.100
Se Sr Bi
4 4 2
Direct
0.348 0.848 0.000
0.152 0.348 0.000
0.652 0.152 0.000
0.848 0.652 0.000
0.158 0.658 0.500
0.658 0.842 0.500
0.842 0.342 0.500
0.342 0.158 0.500
0.500 0.500 0.000
0.000 0.000 0.000

---

(8)
Ca2Mg17Rh3 | Alexandria | PBE | optimized geometry; symmetry = R-3m (166); energy relative to the elements = -0.0085 eV/atom; energy = -2.425 eV per atom
1.0
-5.681 2.212 -5.363
-0.048 -6.870 -4.329
-6.321 -3.498 3.707
Ca Mg Rh
2 17 3
Direct
0.666 0.666 0.666
0.334 0.334 0.334
0.662 0.165 0.662
0.099 0.099 0.099
0.270 0.000 0.730
0.662 0.662 0.165
0.730 0.000 0.270
0.000 0.730 0.270
0.500 0.000 0.000
0.901 0.901 0.901
0.270 0.730 0.000
0.165 0.662 0.662
0.000 0.000 0.500
0.338 0.835 0.338
0.835 0.338 0.338
0.000 0.270 0.730
0.730 0.270 0.000
0.000 0.500 0.000
0.338 0.338 0.835
0.000 0.500 0.500
0.500 0.000 0.500
0.500 0.500 0.000

---

(9)
Ni2AsAu | Alexandria | PBE | optimized geometry; symmetry = I-42d (122); energy relative to the elements = 0.0744 eV/atom; energy = -4.798 eV per atom
1.0
-4.166 0.658 5.244
-4.862 -3.095 -3.474
-3.701 -3.549 1.823
Ni As Au
4 2 2
Direct
0.587 0.125 0.250
0.875 0.837 0.750
0.163 0.625 0.250
0.375 0.413 0.750
0.500 0.500 0.000
0.250 0.750 0.500
0.750 0.250 0.500
0.000 0.000 0.000

---

(10)
CsTi3W | Alexandria | PBE | optimized geometry; symmetry = Pm-3m (221); energy relative to the elements = 2.5582 eV/atom; energy = -4.940 eV per atom
1.0
4.818 0.000 0.000
0.000 4.818 0.000
0.000 0.000 4.818
Ti W Cs
3 1 1
Direct
0.000 0.500 0.000
0.500 0.000 0.000
0.000 0.000 0.500
0.500 0.500 0.500
0.000 0.000 0.000

---

(11)
Pr4Bi2N | Alexandria | PBE | optimized geometry; formation energy (no corrections) = -0.89 eV per atom; symmetry = I4/mmm (139); energy = -5.920 eV per atom
1.0
4.945 0.000 0.000
0.000 4.945 0.000
2.472 2.472 8.497
Bi Pr N
2 4 1
Direct
0.356 0.356 0.288
0.644 0.644 0.712
0.500 0.000 0.000
0.840 0.840 0.321
0.160 0.160 0.679
0.000 0.500 0.000
0.000 0.000 0.000

---

(12)
NdZrAl | Alexandria | PBE | optimized geometry; symmetry = I4mm (107); energy relative to the elements = -0.1512 eV/atom; energy = -5.837 eV per atom
1.0
-2.506 -1.084 -1.682
1.951 -1.925 -1.665
-0.708 -3.623 6.446
Nd Zr Al
1 1 1
Direct
0.012 0.012 0.024
0.311 0.311 0.622
0.677 0.677 0.354

---

(13)
U2ZnGa3Pt4 | Alexandria | PBE | optimized geometry; symmetry = P-4m2 (115); energy relative to the elements = -0.5778 eV/atom; energy = -6.287 eV per atom
1.0
4.043 0.000 0.000
0.000 4.043 0.000
0.000 0.000 11.391
U Pt Ga Zn
2 4 3 1
Direct
0.000 0.500 0.748
0.500 0.000 0.252
0.000 0.000 0.000
0.500 0.500 0.000
0.500 0.000 0.650
0.000 0.500 0.350
0.000 0.000 0.500
0.000 0.500 0.132
0.500 0.000 0.868
0.500 0.500 0.500

---

(14)
Sb2RhIF | Alexandria | PBE | optimized geometry; formation energy (no corrections) = 0.01 eV per atom; symmetry = P4/mmm (123); energy = -3.798 eV per atom
1.0
-0.189 -2.477 -4.406
4.658 -1.798 0.811
-2.150 -4.411 2.572
Sb Rh I F
2 1 1 1
Direct
0.000 0.500 0.000
0.500 0.000 0.000
0.000 0.000 0.000
0.000 0.000 0.500
0.500 0.500 0.500

---

(15)
CrRe2As | Alexandria | PBE | optimized geometry; symmetry = P4mm (99); energy relative to the elements = 0.1474 eV/atom; energy = -9.645 eV per atom
1.0
2.921 0.000 0.000
0.000 2.921 0.000
0.000 0.000 6.590
Re As Cr
2 1 1
Direct
0.000 0.000 0.992
0.500 0.500 0.255
0.000 0.000 0.523
0.500 0.500 0.730

---

(16)
PmNb2Ru2 | Alexandria | PBE | optimized geometry; symmetry = I4/mmm (139); energy relative to the elements = -0.2244 eV/atom; energy = -8.913 eV per atom
1.0
4.128 0.000 -1.542
-0.576 4.087 -1.542
-0.045 -0.052 6.174
Ru Nb Pm
2 2 1
Direct
0.379 0.379 0.757
0.621 0.621 0.243
0.750 0.250 0.500
0.250 0.750 0.500
0.000 0.000 0.000

---

(17)
K4PaPd3O8 | Alexandria | PBE | optimized geometry; formation energy (no corrections) = -1.53 eV per atom; symmetry = C2/m (12); energy = -5.854 eV per atom
1.0
6.157 0.000 0.000
0.000 7.025 -0.138
-3.078 -3.632 6.227
Pd O K Pa
3 8 4 1
Direct
0.500 0.500 0.000
0.000 0.500 0.500
0.500 0.500 0.500
0.292 0.733 0.073
0.809 0.381 0.618
0.781 0.733 0.073
0.768 0.698 0.536
0.232 0.302 0.464
0.191 0.619 0.382
0.219 0.267 0.927
0.708 0.267 0.927
0.500 0.000 0.000
0.500 0.000 0.500
0.000 0.000 0.500
0.000 0.000 0.000
0.000 0.500 0.000

---

(18)
Ag3HgF8 | Alexandria | PBE | optimized geometry; formation energy (no corrections) = -1.14 eV per atom; symmetry = C222 (21); energy = -3.122 eV per atom
1.0
6.514 -0.703 0.000
-3.675 5.424 0.000
0.000 0.000 6.590
F Hg Ag
8 1 3
Direct
0.735 0.772 0.771
0.707 0.293 0.500
0.228 0.265 0.229
0.265 0.228 0.771
0.293 0.707 0.500
0.279 0.721 0.000
0.721 0.279 0.000
0.772 0.735 0.229
0.500 0.500 0.500
0.500 0.500 0.000
0.500 0.000 0.754
0.000 0.500 0.246